No. 1
GGA-PBE Pr7Er12In, optimized geometry; magnetic moment = 0.0 μB/f.u.; formation enthalpy at 0 K = -0.01 eV per atom; DOS at the Fermi energy = 26.54 states/eV per cell; raw total energy = -91.2 eV per formula unit; theoretical density = 8.08 g/cm3
1.0
6.025 1.274 -0.427
-0.808 9.326 0.720
2.809 5.476 11.299
Pr Er In
7 12 1
direct
0.100 0.706 0.902 Pr
0.204 0.398 0.802 Pr
0.156 0.049 0.351 Pr
0.500 0.500 0.500 Pr
0.844 0.951 0.649 Pr
0.796 0.602 0.198 Pr
0.900 0.294 0.098 Pr
0.758 0.249 0.753 Er
0.459 0.144 0.048 Er
0.598 0.197 0.401 Er
0.946 0.649 0.549 Er
0.299 0.100 0.703 Er
0.646 0.554 0.851 Er
0.354 0.446 0.149 Er
0.701 0.900 0.297 Er
0.054 0.351 0.451 Er
0.402 0.803 0.599 Er
0.541 0.856 0.952 Er
0.242 0.751 0.247 Er
0.000 0.000 0.000 In


No. 2
GGA-PBE BaCr2Cd, optimized geometry; magnetic moment = 8.6 μB/f.u.; formation enthalpy at 0 K = 0.87 eV per atom; DOS at the Fermi energy = 3.03 states/eV per cell; raw total energy = -18.6 eV per formula unit; theoretical density = 5.60 g/cm3
1.0
5.004 0.046 0.000
-0.018 5.004 0.000
0.000 0.000 4.189
Ba Cd Cr
1 1 2
direct
0.500 0.000 0.500 Ba
0.000 0.500 0.500 Cd
0.000 0.000 0.000 Cr
0.500 0.500 0.000 Cr


No. 3
GGA-PBE AlCd2Au2, optimized geometry; energy above the most stable polymorph in this dataset = 0 meV/atom; magnetic moment = 0.0 μB/f.u.; formation enthalpy at 0 K = -0.18 eV per atom; DOS at the Fermi energy = 1.45 states/eV per cell; raw total energy = -13.0 eV per formula unit; theoretical density = 10.88 g/cm3
1.0
-0.363 -1.270 2.849
-0.281 -3.248 0.247
10.714 -0.683 2.792
Al Cd Au
1 2 2
direct
0.000 0.500 0.500 Al
0.593 0.698 0.116 Cd
0.407 0.302 0.884 Cd
0.782 0.107 0.330 Au
0.218 0.893 0.670 Au